Density functional theory data (PBE-GGA) for a relaxed structure of MgPtSe2.

Space group: I4/mmm
E_form (uncorrected) (meV per atom): -378

Structure (POSCAR):
```
MgPtSe2
1.0
4.7116 -0.0279 0.0019
-1.2718 4.5368 0.0019
1.7138 2.2464 3.7628
Se Mg Pt
2 1 1
Cartesian
0.0000 0.0000 0.0000
1.7199 2.2545 0.0019
3.2127 1.1093 1.8824
0.2210 3.3916 1.8824
```

Density functional theory data (PBE-GGA) for a relaxed structure of MgPtSe.

Space group: I4mm
E_form (uncorrected) (meV per atom): -410

Structure (POSCAR):
```
MgPtSe
1.0
-0.0087 3.6463 3.2279
-3.5819 3.2739 -0.4080
0.3447 -4.8548 0.1657
Pt Mg Se
1 1 1
Cartesian
-1.2572 2.4230 0.9873
-3.5763 6.8925 2.8086
-2.3477 4.5248 1.8438
```

Computed values of spin magnetization (unit: μB per formula unit) for the preceding records, in sequence: 0.0, 0.0.
Computed values of mass density (unit: g/cm³) for the preceding records, in sequence: 7.81, 9.15.